# 1
{
  "formula": "Dy2BrNCl",
  "functional": "PBE",
  "state": "optimized geometry",
  "lattice": [[3.6250, 0.0000, 0.0000], [-1.8125, 3.1393, 0.0000], [0.0000, 0.0000, 9.9949]],
  "species": ["Dy", "Dy", "Br", "N", "Cl"],
  "fractional_positions": [[0.0000, 0.0000, 0.0000], [0.3333, 0.6667, 0.2589], [0.0000, 0.0000, 0.4545], [0.6667, 0.3333, 0.1279], [0.3333, 0.6667, 0.8233]],
  "volume_a3_per_cell": 113.7,
  "dft_energy_ev_per_atom": -6.06,
  "m_tot_mub_per_cell": 0.005,
  "spacegroup": "P3m1 (156)"
}



# 2
{
  "formula": "Dy2Br2NCl",
  "functional": "PBE",
  "state": "optimized geometry",
  "lattice": [[8.6887, -1.9312, 0.0000], [8.6887, 1.9312, 0.0000], [-6.0247, 0.0000, 9.3508]],
  "species": ["Dy", "Dy", "Dy", "Dy", "Br", "Br", "Br", "Br", "N", "N", "Cl", "Cl"],
  "fractional_positions": [[0.0793, 0.0793, 0.4591], [0.3661, 0.3661, 0.2135], [0.6339, 0.6339, 0.7865], [0.9207, 0.9207, 0.5409], [0.1666, 0.1666, 0.0195], [0.4544, 0.4544, 0.7580], [0.5456, 0.5456, 0.2420], [0.8334, 0.8334, 0.9805], [0.0733, 0.0733, 0.6554], [0.9267, 0.9267, 0.3446], [0.2925, 0.2925, 0.3894], [0.7075, 0.7075, 0.6106]],
  "volume_a3_per_cell": 313.8,
  "dft_energy_ev_per_atom": -5.73,
  "m_tot_mub_per_cell": 0.003,
  "relative_energy_kj_per_mol_atoms": 0.0,
  "spacegroup": "C2/m (12)"
}



Question: Number 1 is which compound?
Answer: Dy2BrNCl